Density functional theory data (GGA+U) for crystalline LiMn2O3F at its relaxed geometry.

POSCAR file:
```
LiMn2O3F
1.0
5.2121 -3.0719 0.0000
5.2121 3.0719 0.0000
-3.1882 0.0000 4.9354
Li Mn O F
2 4 6 2
Direct
0.1036 0.1036 0.3886 Li
0.8964 0.8964 0.6114 Li
0.0000 0.5000 0.0000 Mn
0.5000 0.0000 0.0000 Mn
0.5000 0.5000 0.0000 Mn
0.5000 0.5000 0.5000 Mn
0.2443 0.2443 0.7941 O
0.2616 0.6897 0.2298 O
0.3103 0.7384 0.7702 O
0.6897 0.2616 0.2298 O
0.7384 0.3103 0.7702 O
0.7557 0.7557 0.2059 O
0.2447 0.2447 0.2747 F
0.7553 0.7553 0.7253 F
```

**Calculated volume**: 11.3 Å³ per atom
**Theoretical density**: 3.9 g/cm³
**Polymorph energy (0 for the lowest one)**: 0.0021 eV/atom
**Space group**: C2/m
**Final energy**: -94.47 eV/cell